(1)
This record from Alexandria via LeMat-Bulk describes TlTeRh2Se after structural relaxation. The functional is PBE-GGA.

a = 7.5231 Å, b = 4.0824 Å, c = 8.3102 Å
α = 90.00°, β = 103.47°, γ = 90.00°
Positions (direct):
1 Tl 0.1000 0.2500 0.3283
2 Tl 0.9000 0.7500 0.6717
3 Te 0.2493 0.7500 0.0531
4 Te 0.7507 0.2500 0.9469
5 Rh 0.4626 0.7500 0.3616
6 Rh 0.4725 0.2500 0.1069
7 Rh 0.5275 0.7500 0.8931
8 Rh 0.5374 0.2500 0.6384
9 Se 0.3425 0.7500 0.6116
10 Se 0.6575 0.2500 0.3884

Results
The value obtained for the final energy is -4.96 eV/atom. The value obtained for the calculated volume is 24.821 A^3/atom. Its formation energy without anion corrections is -0.225 eV/atom.

---

(2)
This record from Alexandria via LeMat-Bulk describes Sc2Re2W after structural relaxation. The functional is PBE-GGA.

a = 8.6762 Å, b = 8.6762 Å, c = 8.6762 Å
α = 156.92°, β = 156.92°, γ = 32.87°
Positions (direct):
1 Sc 0.1010 0.1010 0.0000
2 Sc 0.8990 0.8990 0.0000
3 Re 0.2500 0.7500 0.5000
4 Re 0.7500 0.2500 0.5000
5 W 0.5000 0.5000 0.0000

Results
The value obtained for the final energy is -9.40 eV/atom. The value obtained for the calculated volume is 20.057 A^3/atom. As for the energy above the most stable polymorph in this dataset: 58.9 kJ/mol of atoms.

---

(3)
This record from Alexandria via LeMat-Bulk describes VTcRu2Br after structural relaxation. The functional is PBE-GGA.

a = 4.7272 Å, b = 4.7272 Å, c = 4.6343 Å
α = 90.00°, β = 90.00°, γ = 90.00°
Positions (direct):
1 V 0.0000 0.0000 0.0000
2 Tc 0.0000 0.0000 0.5000
3 Ru 0.0000 0.5000 0.5000
4 Ru 0.5000 0.0000 0.5000
5 Br 0.5000 0.5000 0.0000

Results
The value obtained for the final energy is -6.37 eV/atom. The value obtained for the calculated volume is 20.712 A^3/atom. Its formation energy without anion corrections is 1.570 eV/atom.

---

(4)
This record from Alexandria via LeMat-Bulk describes Cs2AgSnBr6 after structural relaxation. The functional is PBE-GGA.

a = 7.9823 Å, b = 7.9823 Å, c = 7.9823 Å
α = 120.17°, β = 120.17°, γ = 89.71°
Positions (direct):
1 Cs 0.2500 0.7500 0.5000
2 Cs 0.7500 0.2500 0.5000
3 Ag 0.0000 0.0000 0.0000
4 Sn 0.5000 0.5000 0.0000
5 Br 0.2500 0.2500 0.5000
6 Br 0.2500 0.7500 0.0000
7 Br 0.2510 0.2510 0.0000
8 Br 0.7490 0.7490 0.0000
9 Br 0.7500 0.2500 0.0000
10 Br 0.7500 0.7500 0.5000

Results
The value obtained for the final energy is -2.97 eV/atom. The value obtained for the calculated volume is 35.872 A^3/atom. Its formation energy without anion corrections is -1.111 eV/atom.

---

(5)
This record from Alexandria via LeMat-Bulk describes Rb2ScNbF6 after structural relaxation. The functional is PBE-GGA.

a = 6.2234 Å, b = 6.2234 Å, c = 6.2234 Å
α = 60.00°, β = 60.00°, γ = 60.00°
Positions (direct):
1 Rb 0.2500 0.2500 0.2500
2 Rb 0.7500 0.7500 0.7500
3 Sc 0.0000 0.0000 0.0000
4 Nb 0.5000 0.5000 0.5000
5 F 0.2407 0.2407 0.7593
6 F 0.2407 0.7593 0.2407
7 F 0.2407 0.7593 0.7593
8 F 0.7593 0.2407 0.2407
9 F 0.7593 0.2407 0.7593
10 F 0.7593 0.7593 0.2407

Results
The value obtained for the final energy is -5.63 eV/atom. The value obtained for the calculated volume is 17.044 A^3/atom. Its formation energy without anion corrections is -2.671 eV/atom.

---

(6)
This record from Alexandria via LeMat-Bulk describes PmS2 after structural relaxation. The functional is PBE-GGA.

a = 3.7804 Å, b = 3.7804 Å, c = 5.1768 Å
α = 111.35°, β = 111.35°, γ = 89.95°
Positions (direct):
1 Pm 0.0000 0.0000 0.0000
2 S 0.3556 0.3556 0.7128
3 S 0.6444 0.6444 0.2872

Results
The value obtained for the final energy is -5.72 eV/atom. The value obtained for the calculated volume is 21.146 A^3/atom. Its formation energy without anion corrections is -1.384 eV/atom. As for the energy above the most stable polymorph in this dataset: 34.9 kJ/mol of atoms.